The following is a PBE-GGA calculation of an optimized crystal structure of CrIr2OsPb, from the Alexandria database.

POSCAR file:
```
CrIr2OsPb
1.0
4.836 0.000 0.000
0.000 4.836 0.000
0.000 0.000 4.667
Cr Ir Os Pb
1 2 1 1
Direct
0.000 0.000 0.000
0.000 0.500 0.500
0.500 0.000 0.500
0.000 0.000 0.500
0.500 0.500 0.000
```

---

The following is a PBE-GGA calculation of an optimized crystal structure of CaAcRh2, from the Alexandria database.

POSCAR file:
```
CaAcRh2
1.0
4.203 0.000 0.000
0.000 4.333 0.000
-2.095 0.000 5.380
Ca Ac Rh
1 1 2
Direct
0.000 0.000 0.000
0.283 0.500 0.565
0.563 0.500 0.126
0.707 0.000 0.415
```

Results
Offset from the most stable computed form, meV/atom: 0

---

no.,energy of formation (eV/atom),electronic total energy (eV for the cell shown)
1,1.234,-36.112
2,-0.477,-22.719